AlNi2Pb | PBEsol | relaxed

```
AlNi2Pb
1.0
-1.354 0.932 3.372
-3.489 -0.635 -1.226
2.715 -4.088 0.133
Ni Al Pb
2 1 1
direct
0.000 0.000 0.000 Ni
0.750 0.250 0.500 Ni
0.250 0.750 0.500 Al
0.500 0.500 0.000 Pb
```

Crystal system = tetragonal
Symmetry = I-4m2
DFT formation energy = 48 meV per atom
M_tot = 0.00 μB per formula unit
V = 58 Å³ per cell

---

AlNi2Pb | PBEsol | relaxed

```
AlNi2Pb
1.0
-3.865 1.955 -0.712
-2.851 -1.745 -2.845
-3.700 -1.856 1.460
Ni Pb Al
2 1 1
direct
0.750 0.750 0.750 Ni
0.000 0.000 0.000 Ni
0.250 0.250 0.250 Pb
0.500 0.500 0.500 Al
```

Crystal system = cubic
Symmetry = F-43m
DFT formation energy = 269 meV per atom
M_tot = 0.00 μB per formula unit
V = 60 Å³ per cell

---

TiAl2NiPb | PBEsol | relaxed

```
TiAl2NiPb
1.0
4.389 0.000 0.000
0.000 4.389 0.000
0.000 0.000 5.119
Ti Al Ni Pb
1 2 1 1
direct
0.500 0.500 0.500 Ti
0.000 0.500 0.000 Al
0.500 0.000 0.000 Al
0.000 0.000 0.000 Ni
0.000 0.000 0.500 Pb
```

Crystal system = tetragonal
Symmetry = P4/mmm
DFT formation energy = 352 meV per atom
M_tot = 1.34 μB per formula unit
V = 99 Å³ per cell

---

Al3NiPd | PBEsol | relaxed

```
Al3NiPd
1.0
-1.364 1.691 -3.781
-0.922 -4.005 -1.458
-4.038 0.343 1.610
Pd Ni Al
1 1 3
direct
0.500 0.500 0.500 Pd
0.000 0.000 0.000 Ni
0.500 0.000 0.000 Al
0.000 0.000 0.500 Al
0.000 0.500 0.000 Al
```

Crystal system = cubic
Symmetry = Pm-3m
DFT formation energy = -83 meV per atom
M_tot = 0.00 μB per formula unit
V = 83 Å³ per cell

---

Al2Ni9Pd | PBEsol | relaxed

```
Al2Ni9Pd
1.0
3.547 0.000 0.000
0.000 3.547 0.000
0.000 0.000 10.558
Ni Pd Al
9 1 2
direct
0.500 0.500 0.665 Ni
0.500 0.000 0.500 Ni
0.000 0.500 0.500 Ni
0.500 0.000 0.828 Ni
0.000 0.500 0.828 Ni
0.500 0.000 0.172 Ni
0.500 0.500 0.335 Ni
0.500 0.500 0.000 Ni
0.000 0.500 0.172 Ni
0.000 0.000 0.000 Pd
0.000 0.000 0.336 Al
0.000 0.000 0.664 Al
```

Crystal system = tetragonal
Symmetry = P4/mmm
DFT formation energy = -276 meV per atom
M_tot = 2.56 μB per formula unit
V = 133 Å³ per cell

---

Al2Ni2Pd | PBEsol | relaxed

```
Al2Ni2Pd
1.0
-2.512 0.543 -0.777
-2.366 -4.651 4.397
-0.458 4.799 4.829
Al Ni Pd
4 4 2
direct
0.500 0.829 0.329 Al
0.500 0.329 0.171 Al
0.500 0.171 0.671 Al
0.500 0.671 0.829 Al
0.000 0.126 0.374 Ni
0.000 0.874 0.626 Ni
0.000 0.626 0.126 Ni
0.000 0.374 0.874 Ni
0.000 0.500 0.500 Pd
0.000 0.000 0.000 Pd
```

Crystal system = tetragonal
Symmetry = P4/mbm
DFT formation energy = -596 meV per atom
M_tot = 0.00 μB per formula unit
V = 125 Å³ per cell